1.
5
Lattice="-2.238 -2.109 -3.875 -3.518 -1.769 2.995 -2.662 4.111 -0.699" Properties=species:S:1:pos:R:3 comment="BaHgW3 | the Alexandria database | PBEsol | optimized geometry" delta_e_f_ev_per_atom=3.821 vol_a3_per_cell=121.1 pbc="T T T"
Hg -4.209 0.116 -0.790
W -1.759 -0.885 1.497
W -1.119 -1.054 -1.938
W -1.331 2.055 -0.350
Ba 0.000 0.000 0.000



2.
4
Lattice="3.109 0.000 0.000 0.000 3.109 0.000 0.000 0.000 9.196" Properties=species:S:1:pos:R:3 comment="BaHg2W | the Alexandria database | PBEsol | optimized geometry" e_above_lowest_polymorph_ev_per_atom=0.000 delta_e_f_ev_per_atom=0.532 vol_a3_per_cell=88.9 pbc="T T T"
W 1.555 1.555 0.000
Ba 1.555 1.555 4.598
Hg 0.000 0.000 1.922
Hg 0.000 0.000 7.274



3.
4
Lattice="3.733 0.000 0.000 0.000 3.733 0.000 0.000 0.000 9.258" Properties=species:S:1:pos:R:3 comment="Ba2HgW | the Alexandria database | PBEsol | optimized geometry" delta_e_f_ev_per_atom=0.719 vol_a3_per_cell=129.0 pbc="T T T"
Ba 1.866 1.866 3.094
Hg 0.000 0.000 5.305
W 1.866 1.866 6.193
Ba 0.000 0.000 8.552



4.
4
Lattice="4.491 0.000 0.000 0.000 4.491 0.000 -2.246 -2.246 4.902" Properties=species:S:1:pos:R:3 comment="BaHg2W | the Alexandria database | PBEsol | optimized geometry" e_above_lowest_polymorph_ev_per_atom=0.418 delta_e_f_ev_per_atom=0.950 vol_a3_per_cell=98.9 pbc="T T T"
Ba 0.000 2.246 2.451
Hg 2.246 0.000 2.451
W 2.246 2.246 0.000
Hg 0.000 0.000 0.000



5.
4
Lattice="5.602 0.000 0.000 2.801 4.851 0.000 2.801 1.617 4.574" Properties=species:S:1:pos:R:3 comment="BaY2Hg | the Alexandria database | PBEsol | optimized geometry" delta_e_f_ev_per_atom=0.067 vol_a3_per_cell=124.3 pbc="T T T"
Hg 2.801 1.617 1.143
Y 0.000 0.000 0.000
Y 8.403 4.851 3.430
Ba 5.602 3.234 2.287



6.
4
Lattice="5.732 0.000 0.000 2.866 4.964 0.000 2.866 1.655 4.680" Properties=species:S:1:pos:R:3 comment="Ba2YHg | the Alexandria database | PBEsol | optimized geometry" delta_e_f_ev_per_atom=0.043 vol_a3_per_cell=133.2 pbc="T T T"
Hg 5.732 3.310 2.340
Y 2.866 1.655 1.170
Ba 8.599 4.964 3.510
Ba 0.000 0.000 0.000



7.
4
Lattice="-2.020 2.900 0.043 -1.917 -1.504 -5.448 -2.459 -3.819 5.122" Properties=species:S:1:pos:R:3 comment="BaY2Hg | the Alexandria database | PBEsol | optimized geometry" delta_e_f_ev_per_atom=0.037 vol_a3_per_cell=125.1 pbc="T T T"
Ba -0.959 -0.752 -2.724
Y -3.198 -1.211 -0.142
Y -1.230 -1.909 2.561
Hg -1.010 1.450 0.022



8.
4
Lattice="3.779 0.000 0.000 0.000 3.779 0.000 0.000 0.000 8.026" Properties=species:S:1:pos:R:3 comment="BaYHg2 | the Alexandria database | PBEsol | optimized geometry" delta_e_f_ev_per_atom=-0.562 vol_a3_per_cell=114.6 pbc="T T T"
Ba 1.890 1.890 4.013
Hg 0.000 0.000 6.376
Y 1.890 1.890 0.000
Hg 0.000 0.000 1.650



9.
3
Lattice="-3.223 -2.567 -1.458 3.170 -2.542 -2.532 -1.032 -1.262 4.502" Properties=species:S:1:pos:R:3 comment="BaZnHg | the Alexandria database | PBEsol | optimized geometry" e_above_lowest_polymorph_ev_per_atom=0.000 delta_e_f_ev_per_atom=-0.363 vol_a3_per_cell=86.8 pbc="T T T"
Ba 0.000 0.000 0.000
Zn 0.158 -3.399 -0.917
Hg -1.243 -2.972 1.428



10.
4
Lattice="4.058 0.000 0.000 0.000 5.737 0.000 0.000 0.000 5.737" Properties=species:S:1:pos:R:3 comment="Ba2ZnHg | the Alexandria database | PBEsol | optimized geometry" delta_e_f_ev_per_atom=-0.335 vol_a3_per_cell=133.6 pbc="T T T"
Hg 2.029 2.868 2.868
Ba 0.000 0.000 2.868
Ba 0.000 2.868 0.000
Zn 2.029 0.000 0.000



11.
5
Lattice="-0.440 6.121 0.615 -6.120 -0.499 0.582 0.627 -0.568 6.109" Properties=species:S:1:pos:R:3 comment="BaZn3Hg | the Alexandria database | PBEsol | optimized geometry" delta_e_f_ev_per_atom=0.931 vol_a3_per_cell=234.6 pbc="T T T"
Zn -0.220 3.061 0.307
Hg -2.967 2.527 3.653
Zn -3.060 -0.249 0.291
Ba 0.000 0.000 0.000
Zn 0.313 -0.284 3.055



12.
3
Lattice="-3.936 2.825 -1.527 -4.284 0.075 2.730 -1.287 4.175 2.592" Properties=species:S:1:pos:R:3 comment="BaZnHg | the Alexandria database | PBEsol | optimized geometry" e_above_lowest_polymorph_ev_per_atom=0.215 delta_e_f_ev_per_atom=-0.149 vol_a3_per_cell=92.7 pbc="T T T"
Ba 0.000 0.000 0.000
Zn -2.377 1.769 0.949
Hg -4.754 3.538 1.898



13.
4
Lattice="-4.867 -1.276 2.754 0.147 -1.525 5.527 -2.043 3.555 4.011" Properties=species:S:1:pos:R:3 comment="Ba2ZnHg | the Alexandria database | PBEsol | optimized geometry" delta_e_f_ev_per_atom=-0.335 vol_a3_per_cell=133.4 pbc="T T T"
Ba -1.691 0.188 3.073
Hg 0.000 0.000 0.000
Zn -3.381 0.377 6.146
Ba -5.072 0.565 9.219



14.
4
Lattice="4.651 0.000 0.000 0.000 4.651 0.000 0.000 0.000 4.635" Properties=species:S:1:pos:R:3 comment="BaZr2Hg | the Alexandria database | PBEsol | optimized geometry" delta_e_f_ev_per_atom=0.364 vol_a3_per_cell=100.3 pbc="T T T"
Zr 2.325 0.000 0.000
Ba 2.325 2.325 2.318
Zr 0.000 2.325 0.000
Hg 0.000 0.000 2.318



15.
4
Lattice="-0.742 3.177 0.880 -0.812 -1.566 4.970 5.079 0.877 1.114" Properties=species:S:1:pos:R:3 comment="BaZr2Hg | the Alexandria database | PBEsol | optimized geometry" delta_e_f_ev_per_atom=0.396 vol_a3_per_cell=94.0 pbc="T T T"
Zr 2.540 0.439 0.557
Ba -0.371 1.589 0.440
Hg 1.763 1.244 3.482
Zr -0.406 -0.783 2.485